1.
Computed, not measured: a geometry-optimized MnCu2Au2 structure at the GGA-PBE level of DFT.

Cell: 6.7756 6.7756 3.4172 Å, 90.00 90.00 90.00°
Last column: nearest neighbours and their distance in Å.
Element x y z (fractional)
Mn1 0.0000 0.0000 0.0000  4 Cu 2.67
Mn2 0.5000 0.5000 0.0000  4 Cu 2.67
Cu1 0.1281 0.3719 0.0000  1 Cu 2.45, 6 Au 2.57-2.67, 2 Mn 2.67
Cu2 0.3719 0.8719 0.0000  1 Cu 2.45, 6 Au 2.57-2.67, 2 Mn 2.67
Cu3 0.6281 0.1281 0.0000  1 Cu 2.45, 6 Au 2.57-2.67, 2 Mn 2.67
Cu4 0.8719 0.6281 0.0000  1 Cu 2.45, 6 Au 2.57-2.67, 2 Mn 2.67
Au1 0.1713 0.6713 0.5000  6 Cu 2.57-2.67
Au2 0.3287 0.1713 0.5000  6 Cu 2.57-2.67
Au3 0.6713 0.8287 0.5000  6 Cu 2.57-2.67
Au4 0.8287 0.3287 0.5000  6 Cu 2.57-2.67

Values from the calculation:
ΔH_f (0 K) = 0.079 eV/atom
distance to the lowest polymorph of the same formula = 122 meV per atom

---

2.
Computed, not measured: a geometry-optimized SrSm2Cd6 structure at the GGA-PBE level of DFT.

Cell: 8.8079 8.8079 3.5414 Å, 90.00 90.00 120.00°
Last column: nearest neighbours and their distance in Å.
Element x y z (fractional)
Sr1 0.0000 0.0000 0.0000  12 Cd 3.45, 2 Sr 3.54
Sm1 0.3333 0.6667 0.0000  12 Cd 3.42, 2 Sm 3.54
Sm2 0.6667 0.3333 0.0000  12 Cd 3.42, 2 Sm 3.54
Cd1 0.0000 0.3367 0.5000  3 Cd 2.88-2.97
Cd2 0.0000 0.6633 0.5000  3 Cd 2.88-2.97
Cd3 0.3367 0.0000 0.5000  3 Cd 2.88-2.97
Cd4 0.3367 0.3367 0.5000  3 Cd 2.88-2.97
Cd5 0.6633 0.0000 0.5000  3 Cd 2.88-2.97
Cd6 0.6633 0.6633 0.5000  3 Cd 2.88-2.97

Values from the calculation:
ΔH_f (0 K) = -0.320 eV/atom

---

3.
Computed, not measured: a geometry-optimized Nd7Dy2Y3 structure at the GGA-PBE level of DFT.

Cell: 11.8349 11.8349 11.8349 Å, 32.61 32.61 32.61°
Last column: nearest neighbours and their distance in Å.
Element x y z (fractional)
Nd1 0.0000 0.0000 0.0000  6 Nd 3.39
Nd2 0.0886 0.0886 0.5765  5 Nd 3.24-3.40, 2 Dy 3.42-3.44
Nd3 0.0886 0.5765 0.0886  5 Nd 3.24-3.40, 2 Dy 3.42-3.44
Nd4 0.4235 0.9114 0.9114  5 Nd 3.24-3.40, 2 Dy 3.42-3.44
Nd5 0.5765 0.0886 0.0886  5 Nd 3.24-3.40, 2 Dy 3.42-3.44
Nd6 0.9114 0.4235 0.9114  5 Nd 3.24-3.40, 2 Dy 3.42-3.44
Nd7 0.9114 0.9114 0.4235  5 Nd 3.24-3.40, 2 Dy 3.42-3.44
Dy1 0.1654 0.1654 0.1654  6 Nd 3.42-3.44
Dy2 0.8346 0.8346 0.8346  6 Nd 3.42-3.44
Y1 0.3490 0.3490 0.3490  12 Nd 3.78-4.00, 3 Y 3.98
Y2 0.5000 0.5000 0.5000  6 Dy 3.84
Y3 0.6510 0.6510 0.6510  12 Nd 3.78-4.00, 3 Y 3.98

Values from the calculation:
ΔH_f (0 K) = 0.276 eV/atom
distance to the lowest polymorph of the same formula = 191 meV per atom

---

4.
Computed, not measured: a geometry-optimized Mn2VRe structure at the GGA-PBE level of DFT.

Cell: 2.8476 2.8476 6.0958 Å, 90.00 90.00 90.00°
Last column: nearest neighbours and their distance in Å.
Element x y z (fractional)
Mn1 0.0000 0.0000 0.2292  4 V 2.45, 4 Re 2.60
Mn2 0.0000 0.0000 0.7708  4 V 2.45, 4 Re 2.60
V1 0.5000 0.5000 0.0000  8 Mn 2.45
Re1 0.5000 0.5000 0.5000  8 Mn 2.60, 4 Re 2.85

Values from the calculation:
ΔH_f (0 K) = -0.088 eV/atom
distance to the lowest polymorph of the same formula = 0 meV per atom

---

5.
Computed, not measured: a geometry-optimized ScZnCr2 structure at the GGA-PBE level of DFT.

Cell: 3.0283 3.0283 6.5878 Å, 90.00 90.00 90.00°
Last column: nearest neighbours and their distance in Å.
Element x y z (fractional)
Sc1 0.0000 0.0000 0.0000  5 Cr 2.84-3.00, 4 Zn 2.93, 4 Sc 3.03
Zn1 0.5000 0.5000 0.3041  5 Cr 2.67-2.72, 4 Sc 2.93
Cr1 0.0000 0.0000 0.5454  4 Cr 2.42, 4 Zn 2.67
Cr2 0.5000 0.5000 0.7175  4 Cr 2.42

Values from the calculation:
ΔH_f (0 K) = 0.038 eV/atom

---

6.
Computed, not measured: a geometry-optimized KMoPb2 structure at the GGA-PBE level of DFT.

Cell: 3.1456 3.1456 12.1130 Å, 90.00 90.00 110.55°
Last column: nearest neighbours and their distance in Å.
Element x y z (fractional)
K1 0.0000 0.0000 0.0000  4 K 3.15, 2 Mo 3.42
Mo1 0.5000 0.5000 0.7598  2 Pb 2.94, 4 Mo 3.15
Pb1 0.0000 0.0000 0.5679  2 Mo 2.94, 4 Pb 3.15
Pb2 0.5000 0.5000 0.2804  4 Pb 3.15

Values from the calculation:
ΔH_f (0 K) = 0.813 eV/atom
distance to the lowest polymorph of the same formula = 456 meV per atom

---

7.
Computed, not measured: a geometry-optimized Na2SrBe2S4 structure at the GGA-PBE level of DFT.

Cell: 7.7119 7.7119 8.1405 Å, 119.75 119.75 28.07°
Last column: nearest neighbours and their distance in Å.
Element x y z (fractional)
Na1 0.1115 0.1115 0.1424  6 S 2.92-3.10, 1 Na 2.93, 2 Be 3.25
Na2 0.8885 0.8885 0.8576  6 S 2.92-3.10, 1 Na 2.93, 2 Be 3.25
Sr1 0.0000 0.0000 0.5000  6 S 2.92-3.01
Be1 0.3268 0.3268 0.1112  4 S 2.05-2.26
Be2 0.6732 0.6732 0.8888  4 S 2.05-2.26
S1 0.2261 0.2261 0.8070  3 Be 2.14-2.26
S2 0.4837 0.4837 0.2109  1 Be 2.05
S3 0.5163 0.5163 0.7891  1 Be 2.05
S4 0.7739 0.7739 0.1930  3 Be 2.14-2.26

Values from the calculation:
energy relative to the elements, uncorrected = -1.24 eV per atom

---

8.
Computed, not measured: a geometry-optimized LaTiAlV structure at the GGA-PBE level of DFT.

Cell: 5.7941 5.7941 5.7941 Å, 46.47 46.47 46.47°
Last column: nearest neighbours and their distance in Å.
Element x y z (fractional)
La1 0.0000 0.0000 0.0000  1 V 2.99, 4 Al 3.16-3.31
Ti1 0.4847 0.4847 0.4847  3 V 2.64, 3 Al 2.76
Al1 0.2045 0.2045 0.2045  3 Ti 2.76, 3 V 2.82
V1 0.8070 0.8070 0.8070  3 Ti 2.64, 3 Al 2.82

Values from the calculation:
ΔH_f (0 K) = 0.167 eV/atom
distance to the lowest polymorph of the same formula = 122 meV per atom

---

9.
Computed, not measured: a geometry-optimized Si3N4 structure at the GGA-PBE level of DFT.

Cell: 7.4143 7.4143 6.2502 Å, 90.00 90.00 120.00°
Last column: nearest neighbours and their distance in Å.
Element x y z (fractional)
Si1 0.0645 0.8272 0.0000  5 N 1.77-1.94
Si2 0.1097 0.4894 0.7206  3 N 1.79-1.82
Si3 0.1728 0.2373 0.0000  5 N 1.77-1.94
Si4 0.2373 0.1728 0.5000  5 N 1.77-1.94
Si5 0.3797 0.8903 0.7206  3 N 1.79-1.82
Si6 0.4894 0.1097 0.2206  3 N 1.79-1.82
Si7 0.5106 0.6203 0.7206  3 N 1.79-1.82
Si8 0.6203 0.5106 0.2206  3 N 1.79-1.82
Si9 0.7627 0.9355 0.0000  5 N 1.77-1.94
Si10 0.8272 0.0645 0.5000  5 N 1.77-1.94
Si11 0.8903 0.3797 0.2206  3 N 1.79-1.82
Si12 0.9355 0.7627 0.5000  5 N 1.77-1.94
N1 0.0000 0.0000 0.1505  1 N 1.27
N2 0.0000 0.0000 0.3532  1 N 1.27
N3 0.0000 0.0000 0.6505  1 N 1.27
N4 0.0000 0.0000 0.8532  1 N 1.27
N5 0.0396 0.3799 0.9893  3 Si 1.77-1.82
N6 0.0513 0.6961 0.7273  3 Si 1.79-1.94
N7 0.3039 0.3552 0.7273  3 Si 1.79-1.94
N8 0.3402 0.9604 0.9893  3 Si 1.77-1.82
N9 0.3552 0.3039 0.2273  3 Si 1.79-1.94
N10 0.3799 0.0396 0.4893  3 Si 1.77-1.82
N11 0.6201 0.6598 0.9893  3 Si 1.77-1.82
N12 0.6448 0.9487 0.7273  3 Si 1.79-1.94
N13 0.6598 0.6201 0.4893  3 Si 1.77-1.82
N14 0.6961 0.0513 0.2273  3 Si 1.79-1.94
N15 0.9487 0.6448 0.2273  3 Si 1.79-1.94
N16 0.9604 0.3402 0.4893  3 Si 1.77-1.82

Values from the calculation:
energy relative to the elements, uncorrected = -0.39 eV per atom
distance to the lowest polymorph of the same formula = 707 meV per atom

---

10.
Computed, not measured: a geometry-optimized NpSi4Ir2 structure at the GGA-PBE level of DFT.

Cell: 16.5877 4.1559 6.4520 Å, 90.00 90.00 90.00°
Last column: nearest neighbours and their distance in Å.
Element x y z (fractional)
Np1 0.1414 0.2500 0.0021  9 Si 2.88-3.16, 4 Ir 3.21-3.22
Np2 0.3586 0.7500 0.5021  9 Si 2.88-3.16, 4 Ir 3.21-3.22
Np3 0.6414 0.2500 0.4979  9 Si 2.88-3.16, 4 Ir 3.21-3.22
Np4 0.8586 0.7500 0.9979  9 Si 2.88-3.16, 4 Ir 3.21-3.22
Si1 0.0333 0.7500 0.1355  3 Ir 2.47-2.51, 1 Si 2.68
Si2 0.0651 0.2500 0.5354  4 Ir 2.44-2.54, 1 Si 2.68
Si3 0.1832 0.7500 0.6923  4 Ir 2.51-2.58, 1 Si 2.66
Si4 0.1935 0.7500 0.2804  3 Ir 2.48, 1 Si 2.66
Si5 0.3065 0.2500 0.7804  3 Ir 2.48, 1 Si 2.66
Si6 0.3168 0.2500 0.1923  4 Ir 2.51-2.58, 1 Si 2.66
Si7 0.4349 0.7500 0.0354  4 Ir 2.44-2.54, 1 Si 2.68
Si8 0.4667 0.2500 0.6355  3 Ir 2.47-2.51, 1 Si 2.68
Si9 0.5333 0.7500 0.3645  3 Ir 2.47-2.51, 1 Si 2.68
Si10 0.5651 0.2500 0.9646  4 Ir 2.44-2.54, 1 Si 2.68
Si11 0.6832 0.7500 0.8077  4 Ir 2.51-2.58, 1 Si 2.66
Si12 0.6935 0.7500 0.2196  3 Ir 2.48, 1 Si 2.66
Si13 0.8065 0.2500 0.7196  3 Ir 2.48, 1 Si 2.66
Si14 0.8168 0.2500 0.3077  4 Ir 2.51-2.58, 1 Si 2.66
Si15 0.9349 0.7500 0.4646  4 Ir 2.44-2.54, 1 Si 2.68
Si16 0.9667 0.2500 0.8645  3 Ir 2.47-2.51, 1 Si 2.68
Ir1 0.0327 0.7500 0.7467  7 Si 2.44-2.54
Ir2 0.2108 0.2500 0.4850  7 Si 2.44-2.58
Ir3 0.2892 0.7500 0.9850  7 Si 2.44-2.58
Ir4 0.4673 0.2500 0.2467  7 Si 2.44-2.54
Ir5 0.5327 0.7500 0.7533  7 Si 2.44-2.54
Ir6 0.7108 0.2500 0.0150  7 Si 2.44-2.58
Ir7 0.7892 0.7500 0.5150  7 Si 2.44-2.58
Ir8 0.9673 0.2500 0.2533  7 Si 2.44-2.54

Values from the calculation:
energy relative to the elements, uncorrected = -0.59 eV per atom

---

11.
Computed, not measured: a geometry-optimized Na2V3Te6 structure at the GGA-PBE level of DFT.

Cell: 6.7034 6.7034 8.1636 Å, 98.90 98.90 119.09°
Last column: nearest neighbours and their distance in Å.
Element x y z (fractional)
Na1 0.1555 0.8445 0.0000  6 Te 3.21-3.29, 1 Na 3.59
Na2 0.8445 0.1555 0.0000  6 Te 3.21-3.29, 1 Na 3.59
V1 0.0000 0.0000 0.5000  6 Te 2.74-2.77
V2 0.3111 0.6889 0.5000  6 Te 2.68-2.83
V3 0.6889 0.3111 0.5000  6 Te 2.68-2.83
Te1 0.0924 0.4148 0.7150  3 V 2.68-2.79
Te2 0.2735 0.2735 0.3132  3 V 2.74-2.83
Te3 0.4148 0.0924 0.7150  3 V 2.68-2.79
Te4 0.5852 0.9076 0.2850  3 V 2.68-2.79
Te5 0.7265 0.7265 0.6868  3 V 2.74-2.83
Te6 0.9076 0.5852 0.2850  3 V 2.68-2.79

Values from the calculation:
energy relative to the elements, uncorrected = -0.47 eV per atom

---

12.
Computed, not measured: a geometry-optimized BaSrAlAs2 structure at the GGA-PBE level of DFT.

Cell: 5.7095 5.7095 5.6302 Å, 90.00 90.00 90.00°
Last column: nearest neighbours and their distance in Å.
Element x y z (fractional)
Ba1 0.0000 0.0000 0.0000  8 As 4.01, 4 Al 4.04
Sr1 0.5000 0.5000 0.5000  2 Al 2.82, 4 As 2.85
Al1 0.5000 0.5000 0.0000  2 Sr 2.82
As1 0.0000 0.5000 0.5000  2 Sr 2.85
As2 0.5000 0.0000 0.5000  2 Sr 2.85

Values from the calculation:
ΔH_f (0 K) = 0.127 eV/atom
distance to the lowest polymorph of the same formula = 796 meV per atom